Computed, not measured: a geometry-optimized Tb3Mn5S12 structure at the PBE-GGA level of DFT.

Structure (CIF):
```
data_Tb3Mn5S12
_space_group_name_H-M_alt 'I a -3 d'
_space_group_IT_number 230
_space_group_name_Hall '-I 4bd 2c 3'
_cell_length_a 14.936
_cell_length_b 14.936
_cell_length_c 14.936
_cell_angle_alpha 90.00
_cell_angle_beta 90.00
_cell_angle_gamma 90.00
loop_
_atom_site_label
_atom_site_fract_x
_atom_site_fract_y
_atom_site_fract_z
Tb1 0.000 0.250 0.125
Mn1 0.000 0.000 0.000
Mn2 0.000 0.250 0.375
S1 0.026 0.057 0.648
```

Calculated values
**ρ**: 4.5 g cm⁻³
**E_form (uncorrected)**: -1.068 eV/atom
**Magnetization**: 1.00 μB/atom

***

Computed, not measured: a geometry-optimized Tb6Mn3S14 structure at the PBE-GGA level of DFT.

Structure (CIF):
```
data_Tb6Mn3S14
_space_group_name_H-M_alt 'P 3'
_space_group_IT_number 143
_space_group_name_Hall 'P 3'
_cell_length_a 9.5074
_cell_length_b 9.5074
_cell_length_c 6.2657
_cell_angle_alpha 90.00
_cell_angle_beta 90.00
_cell_angle_gamma 120.00
loop_
_atom_site_label
_atom_site_fract_x
_atom_site_fract_y
_atom_site_fract_z
Tb1 0.0371 0.4981 0.0000
Tb2 0.2855 0.1627 0.4612
Mn1 0.0000 0.0000 0.0453
Mn2 0.3333 0.6667 0.5704
Mn3 0.6667 0.3333 0.6366
S1 0.0000 0.0000 0.6749
S2 0.1137 0.2585 0.2007
S3 0.2010 0.7700 0.7305
S4 0.3333 0.6667 0.2135
S5 0.4327 0.2259 0.8596
S6 0.5353 0.0945 0.4161
```

Calculated values
**ρ**: 5.3 g cm⁻³
**E_form (uncorrected)**: -1.485 eV/atom
**Magnetization**: 0.48 μB/atom

***

Computed, not measured: a geometry-optimized TbMn4S8 structure at the PBE-GGA level of DFT.

Structure (CIF):
```
data_TbMn4S8
_space_group_name_H-M_alt 'R -3 m'
_space_group_IT_number 166
_space_group_name_Hall '-R 3 2"'
_cell_length_a 6.7609
_cell_length_b 6.7609
_cell_length_c 18.7958
_cell_angle_alpha 90.00
_cell_angle_beta 90.00
_cell_angle_gamma 120.00
loop_
_atom_site_label
_atom_site_fract_x
_atom_site_fract_y
_atom_site_fract_z
Tb1 0.0000 0.0000 0.0000
Mn1 0.0000 0.0000 0.5000
Mn2 0.0000 0.5000 0.5000
S1 0.0000 0.0000 0.2354
S2 0.0052 0.5026 0.2356
```

Calculated values
**ρ**: 4.3 g cm⁻³
**E_form (uncorrected)**: -0.799 eV/atom
**Magnetization**: 0.71 μB/atom

***

Which formula does entry 2 have? Tb6Mn3S14

***

magnetization of number 2 (Tb6Mn3S14)? 0.48 μB/atom